A geometry-optimized PrZrTlAg structure. Source: the Alexandria database, functional PBE-GGA.

- crystal system = cubic
- E_form (meV per atom) = -74.6
- total moment (μB per cell) = 3.3

Lattice parameters (Å, degrees): 7.395 7.395 7.395 90.00 90.00 90.00
Space group F-43m (No. 216)
One atom of each set of equivalent atoms:
Pr 0.000 0.000 0.000 x4
Zr 0.000 0.000 0.500 x4
Tl 0.250 0.250 0.750 x4
Ag 0.250 0.250 0.250 x4